# Tb8GaTe4S3 | Alexandria via LeMat-Bulk | GGA-PBE | optimized geometry
data_Tb8GaTe4S3
_symmetry_space_group_name_H-M 'R -3 m'
_symmetry_Int_Tables_number 166
_symmetry_space_group_name_Hall '-R 3 2"'
_cell_length_a 8.2476
_cell_length_b 8.2476
_cell_length_c 21.2362
_cell_angle_alpha 90.00
_cell_angle_beta 90.00
_cell_angle_gamma 120.00
loop_
_atom_site_label
_atom_site_type_symbol
_atom_site_fract_x
_atom_site_fract_y
_atom_site_fract_z
Tb1 Tb 0.0000 0.0000 0.2350
Tb2 Tb 0.0010 0.5005 0.7622
Ga1 Ga 0.0000 0.0000 0.5000
Te1 Te 0.0000 0.0000 0.0000
Te2 Te 0.0000 0.5000 0.0000
S1 S 0.0000 0.5000 0.5000
# E_form (uncorrected): -1517 meV/atom
# energy: -5.581 eV/atom
# calculated volume: 26.063 Å³ per atom